# RbLuCd2

A relaxed structure of RbLuCd2 (PBE, the Alexandria database).

The structure in extended XYZ format:
```
4
Lattice="3.8424 0.0000 0.0000 0.0000 3.8424 0.0000 0.0000 0.0000 8.7132" Properties=species:S:1:pos:R:3 pbc="T T T"
Cd 0.0000 0.0000 1.6204
Cd 0.0000 0.0000 7.0928
Lu 1.9212 1.9212 0.0000
Rb 1.9212 1.9212 4.3566
```

## Properties
The space-group type is P4/mmm. The value obtained for the formation energy is -0.05 eV per atom.



# Sr3As2O8

A relaxed structure of Sr3As2O8 (PBE, the Alexandria database).

The structure in extended XYZ format:
```
13
Lattice="-6.0589 -3.0621 3.2133 -4.6439 -5.6734 -1.6305 -1.6470 -6.6405 3.0988" Properties=species:S:1:pos:R:3 pbc="T T T"
Sr -2.5136 -3.1295 0.9529
Sr 0.0000 0.0000 0.0000
Sr -9.8362 -12.2464 3.7288
O -6.3284 -5.6519 2.8545
O -8.2140 -7.9455 1.8841
O -4.1358 -7.4304 2.7977
O -8.3732 -10.4246 3.1740
O -6.7246 -8.4263 4.2344
O -3.9766 -4.9513 1.5077
O -6.0215 -9.7240 1.8271
O -5.6251 -6.9497 0.4472
As -7.3330 -9.1298 2.7798
As -5.0168 -6.2462 1.9019
```

## Properties
The space-group type is R-3m. The value obtained for the uncorrected formation energy is -2.273 eV/atom.



# La2Ga4Rh5

A relaxed structure of La2Ga4Rh5 (PBE, the Alexandria database).

The structure in extended XYZ format:
```
11
Lattice="5.8070 0.0000 0.0000 2.9035 4.8418 0.0000 2.9035 0.0000 7.4237" Properties=species:S:1:pos:R:3 pbc="T T T"
Rh 1.4517 2.4209 0.0000
Rh 4.3552 2.4209 3.7118
Rh 7.2587 2.4209 3.7118
Rh 4.3552 2.4209 0.0000
Rh 2.9035 0.0000 0.0000
La 2.9035 0.0000 5.5533
La 5.8070 0.0000 1.8704
Ga 5.8070 1.5353 5.4950
Ga 8.7105 3.3065 5.4950
Ga 5.8070 3.3065 1.9287
Ga 2.9035 1.5353 1.9287
```

## Properties
The space-group type is Fmmm. The value obtained for the formation energy is -0.80 eV per atom.



# RbScCrI2

A relaxed structure of RbScCrI2 (PBE, the Alexandria database).

The structure in extended XYZ format:
```
5
Lattice="-4.4062 -3.2327 -2.1535 2.6047 -0.3379 -4.8220 2.7064 -4.8909 1.8047" Properties=species:S:1:pos:R:3 pbc="T T T"
Cr 1.3024 -0.1690 -2.4110
I -2.2031 -1.6164 -1.0768
I 1.3532 -2.4455 0.9023
Rb 0.4525 -4.2308 -2.5854
Sc 0.0000 0.0000 0.0000
```

## Properties
The space-group type is P4/mmm. The value obtained for the uncorrected formation energy is -0.166 eV/atom.



# Pm2ErRh

A relaxed structure of Pm2ErRh (PBE, the Alexandria database).

The structure in extended XYZ format:
```
4
Lattice="3.4511 0.0000 0.0000 1.7255 2.9887 0.0000 1.7255 0.9962 11.0229" Properties=species:S:1:pos:R:3 pbc="T T T"
Rh 0.0000 0.0000 0.0000
Pm 5.1766 2.9887 2.5570
Pm 1.7255 0.9962 8.4660
Er 3.4511 1.9925 5.5115
```

## Properties
The space-group type is R-3m. The value obtained for the formation energy is 0.21 eV per atom.



# Dy3AlHg5

A relaxed structure of Dy3AlHg5 (PBE, the Alexandria database).

The structure in extended XYZ format:
```
18
Lattice="6.2909 0.0000 0.0000 0.0000 7.6977 -4.4443 0.0000 0.0001 8.8887" Properties=species:S:1:pos:R:3 pbc="T T T"
Dy 1.5727 0.0001 2.9960
Dy 1.5727 5.1033 2.9463
Dy 4.7182 7.6977 1.4484
Dy 4.7182 2.5946 1.4980
Dy 1.5727 2.5947 -1.4980
Dy 4.7182 5.1030 -2.9463
Hg 3.1455 5.1318 0.0000
Hg 4.7182 2.4980 -1.4422
Hg 1.5727 5.1997 -3.0021
Hg 1.5727 2.4982 1.4423
Hg 4.7182 7.6976 -1.5597
Hg 1.5727 0.0002 6.0040
Hg 3.1455 2.5660 4.4443
Hg 0.0000 2.5660 4.4443
Hg 4.7182 5.1996 3.0021
Hg 0.0000 5.1318 0.0000
Al 0.0000 0.0000 0.0000
Al 3.1455 0.0000 0.0000
```

## Properties
The space-group type is P6_3/mcm. The value obtained for the formation energy is -0.39 eV per atom.



# ZrScW

A relaxed structure of ZrScW (PBE, the Alexandria database).

The structure in extended XYZ format:
```
3
Lattice="7.7199 -0.0001 0.0000 6.6645 3.8963 0.0000 -7.1922 -1.9481 2.0184" Properties=species:S:1:pos:R:3 pbc="T T T"
Zr 9.7427 2.6389 0.0000
W 4.8308 1.3085 0.0000
Sc 14.1954 3.8450 0.0000
```

## Properties
The space-group type is I4mm. The value obtained for the formation energy is 0.28 eV per atom.



# Hf4ZrN4

A relaxed structure of Hf4ZrN4 (PBE, the Alexandria database).

The structure in extended XYZ format:
```
9
Lattice="-1.5822 2.2127 3.6106 2.2789 -1.6377 4.8323 2.8852 4.6136 1.2669" Properties=species:S:1:pos:R:3 pbc="T T T"
Hf 2.6305 3.8722 4.4396
Hf 2.2252 3.1756 7.5189
Hf 0.9514 1.3163 5.2702
Hf 1.3567 2.0129 2.1909
N 3.0312 2.1065 5.6973
N 1.8023 4.9833 6.2258
N 1.7796 0.2053 3.4840
N 0.5507 3.0821 4.0125
Zr 0.0000 0.0000 0.0000
```

## Properties
The space-group type is C2/m. The value obtained for the uncorrected formation energy is -1.598 eV/atom.



# Te2PO

A relaxed structure of Te2PO (PBE, the Alexandria database).

The structure in extended XYZ format:
```
4
Lattice="2.1768 0.0000 7.6844 -1.0884 1.8852 7.6844 -1.0884 -1.8852 7.6844" Properties=species:S:1:pos:R:3 pbc="T T T"
Te 0.0000 0.0000 2.0429
Te 0.0000 0.0000 21.0104
P 0.0000 0.0000 11.5266
O 0.0000 0.0000 0.0000
```

## Properties
The space-group type is R-3m. The value obtained for the uncorrected formation energy is 0.094 eV/atom.



# KSrCe2Se4

A relaxed structure of KSrCe2Se4 (PBE, the Alexandria database).

The structure in extended XYZ format:
```
8
Lattice="4.3222 0.0000 0.0000 0.0000 7.7633 -0.2578 0.0000 2.6291 7.0381" Properties=species:S:1:pos:R:3 pbc="T T T"
K 2.1611 3.8817 -0.1289
Se 4.3222 2.4453 1.8010
Se 2.1611 6.5992 1.5642
Se 2.1611 3.7931 5.2160
Se 0.0001 7.9471 4.9792
Ce 2.1611 1.3145 3.5190
Ce 0.0000 2.6291 7.0381
Sr 0.0000 5.1961 3.3902
```

## Properties
The space-group type is P2/m. The value obtained for the uncorrected formation energy is -1.766 eV/atom.



# PuPaIn2

A relaxed structure of PuPaIn2 (PBE, the Alexandria database).

The structure in extended XYZ format:
```
4
Lattice="-4.0066 -3.5029 -0.2805 -1.1832 -3.0383 4.2155 -4.4931 0.8663 2.7320" Properties=species:S:1:pos:R:3 pbc="T T T"
Pa 0.0000 0.0000 0.0000
In -7.2621 -4.2562 5.0003
In -2.4207 -1.4187 1.6668
Pu -4.8414 -2.8375 3.3335
```

## Properties
The space-group type is Fm-3m. The value obtained for the formation energy is 0.09 eV per atom.



# HfCo

A relaxed structure of HfCo (PBE, the Alexandria database).

The structure in extended XYZ format:
```
8
Lattice="5.6115 0.0000 0.0000 0.0000 5.6115 0.0000 0.0000 0.0000 5.6115" Properties=species:S:1:pos:R:3 pbc="T T T"
Hf 0.0000 2.8058 2.8058
Hf 2.8058 2.8058 0.0000
Hf 2.8058 0.0000 2.8058
Hf 0.0000 0.0000 0.0000
Co 1.4029 1.4029 1.4029
Co 4.2087 1.4029 4.2087
Co 1.4029 4.2087 4.2087
Co 4.2087 4.2087 1.4029
```

## Properties
The space-group type is F-43m. The value obtained for the formation energy is 0.91 eV per atom.



VASP energy values (in eV per cell) by entry order: -7.50 -83.56 -67.48 -20.85 -20.56 -45.08 -26.98 -96.05 -16.28 -42.71 -28.95 -60.94.
V values (in Å³/f.u.) by entry order: 129 189 209 189 114 215 61 118 95 239 107 44.
Size of the total moment values (in μB per cell) by entry order: 0.0 0.0 0.0 4.1 0.0 0.0 0.0 0.0 0.0 2.7 7.0 0.0.